Entry from Alexandria via LeMat-Bulk: crystalline Pm2HoTh3S6 at its relaxed geometry (PBE).

Cell lengths 9.036, 9.036, 8.051 Å; angles 104.59, 104.59, 25.58 degrees
Element x y z (fractional)
1 Pm 0.166 0.166 0.333
2 Pm 0.834 0.834 0.667
3 Ho 0.500 0.500 0.000
4 Th 0.168 0.168 0.834
5 Th 0.500 0.500 0.500
6 Th 0.832 0.832 0.166
7 S 0.000 0.000 0.239
8 S 0.000 0.000 0.761
9 S 0.332 0.332 0.419
10 S 0.338 0.338 0.917
11 S 0.662 0.662 0.083
12 S 0.668 0.668 0.581

Values from the calculation:
- Formation energy without anion corrections: -1.908 eV per atom
- N(E_F): 7.872 states/eV/f.u.



Entry from Alexandria via LeMat-Bulk: crystalline PmHo2Tl3S6 at its relaxed geometry (PBE).

Cell lengths 7.029, 7.029, 7.873 Å; angles 98.56, 98.56, 119.99 degrees
Element x y z (fractional)
1 Pm 0.000 0.000 0.000
2 Ho 0.333 0.667 0.000
3 Ho 0.667 0.333 0.000
4 Tl 0.166 0.834 0.500
5 Tl 0.500 0.500 0.500
6 Tl 0.834 0.166 0.500
7 S 0.066 0.408 0.199
8 S 0.276 0.276 0.802
9 S 0.408 0.066 0.199
10 S 0.592 0.934 0.801
11 S 0.724 0.724 0.198
12 S 0.934 0.592 0.801

Values from the calculation:
- Formation energy without anion corrections: -1.480 eV per atom
- N(E_F): 0.000 states/eV/f.u.



Entry from Alexandria via LeMat-Bulk: crystalline Pm2HoTl3S6 at its relaxed geometry (PBE).

Cell lengths 7.108, 7.108, 7.873 Å; angles 98.65, 98.65, 119.99 degrees
Element x y z (fractional)
1 Pm 0.167 0.833 0.000
2 Pm 0.833 0.167 0.000
3 Ho 0.500 0.500 0.000
4 Tl 0.000 0.000 0.500
5 Tl 0.333 0.667 0.500
6 Tl 0.667 0.333 0.500
7 S 0.108 0.433 0.800
8 S 0.242 0.242 0.202
9 S 0.433 0.108 0.800
10 S 0.567 0.892 0.200
11 S 0.758 0.758 0.798
12 S 0.892 0.567 0.200

Values from the calculation:
- Formation energy without anion corrections: -1.472 eV per atom
- N(E_F): 0.000 states/eV/f.u.



Entry from Alexandria via LeMat-Bulk: crystalline PmHoTm2S4 at its relaxed geometry (PBE).

Cell lengths 6.747, 3.852, 6.830 Å; angles 90.00, 108.82, 90.00 degrees
Element x y z (fractional)
1 Pm 0.000 0.000 0.000
2 Ho 0.500 0.500 0.000
3 Tm 0.000 0.500 0.500
4 Tm 0.500 0.000 0.500
5 S 0.253 0.000 0.741
6 S 0.261 0.500 0.264
7 S 0.739 0.500 0.736
8 S 0.747 0.000 0.259

Values from the calculation:
- Formation energy without anion corrections: -1.964 eV per atom
- N(E_F): 4.422 states/eV/f.u.



Entry from Alexandria via LeMat-Bulk: crystalline Pm2HoTm3S6 at its relaxed geometry (PBE).

Cell lengths 8.767, 8.767, 7.899 Å; angles 103.83, 103.83, 25.61 degrees
Element x y z (fractional)
1 Pm 0.168 0.168 0.335
2 Pm 0.832 0.832 0.665
3 Ho 0.500 0.500 0.000
4 Tm 0.169 0.169 0.833
5 Tm 0.500 0.500 0.500
6 Tm 0.831 0.831 0.167
7 S 0.004 0.004 0.749
8 S 0.333 0.333 0.929
9 S 0.338 0.338 0.406
10 S 0.662 0.662 0.594
11 S 0.667 0.667 0.071
12 S 0.996 0.996 0.251

Values from the calculation:
- Formation energy without anion corrections: -1.975 eV per atom
- N(E_F): 4.877 states/eV/f.u.



Entry from Alexandria via LeMat-Bulk: crystalline Pm4Ho3TmS8 at its relaxed geometry (PBE).

Cell lengths 7.972, 7.972, 7.972 Å; angles 58.98, 58.98, 58.98 degrees
Element x y z (fractional)
1 Pm 0.000 0.000 0.000
2 Pm 0.000 0.500 0.500
3 Pm 0.500 0.000 0.500
4 Pm 0.500 0.500 0.000
5 Ho 0.000 0.000 0.500
6 Ho 0.000 0.500 0.000
7 Ho 0.500 0.000 0.000
8 Tm 0.500 0.500 0.500
9 S 0.245 0.245 0.245
10 S 0.246 0.743 0.743
11 S 0.257 0.257 0.754
12 S 0.257 0.754 0.257
13 S 0.743 0.246 0.743
14 S 0.743 0.743 0.246
15 S 0.754 0.257 0.257
16 S 0.755 0.755 0.755

Values from the calculation:
- Formation energy without anion corrections: -2.002 eV per atom
- N(E_F): 7.292 states/eV/f.u.



Entry from Alexandria via LeMat-Bulk: crystalline PmHo3Tm2S6 at its relaxed geometry (PBE).

Cell lengths 6.756, 6.756, 6.741 Å; angles 99.58, 99.58, 120.20 degrees
Element x y z (fractional)
1 Pm 0.000 0.000 0.000
2 Ho 0.161 0.839 0.500
3 Ho 0.500 0.500 0.500
4 Ho 0.839 0.161 0.500
5 Tm 0.334 0.666 0.000
6 Tm 0.666 0.334 0.000
7 S 0.084 0.429 0.253
8 S 0.261 0.261 0.751
9 S 0.429 0.084 0.253
10 S 0.571 0.916 0.747
11 S 0.739 0.739 0.249
12 S 0.916 0.571 0.747

Values from the calculation:
- Formation energy without anion corrections: -1.970 eV per atom
- N(E_F): 4.670 states/eV/f.u.



Entry from Alexandria via LeMat-Bulk: crystalline Pm4HoTmS8 at its relaxed geometry (PBE).

Cell lengths 8.176, 8.176, 8.176 Å; angles 60.08, 60.08, 60.08 degrees
Element x y z (fractional)
1 Pm 0.000 0.000 0.000
2 Pm 0.377 0.377 0.872
3 Pm 0.377 0.872 0.377
4 Pm 0.872 0.377 0.377
5 Ho 0.377 0.377 0.377
6 Tm 0.751 0.751 0.751
7 S 0.133 0.133 0.133
8 S 0.139 0.616 0.616
9 S 0.140 0.140 0.598
10 S 0.140 0.598 0.140
11 S 0.598 0.140 0.140
12 S 0.616 0.139 0.616
13 S 0.616 0.616 0.139
14 S 0.623 0.623 0.623

Values from the calculation:
- Formation energy without anion corrections: -1.918 eV per atom
- N(E_F): 8.297 states/eV/f.u.



Entry from Alexandria via LeMat-Bulk: crystalline Pm3Ho3TmS8 at its relaxed geometry (PBE).

Cell lengths 7.929, 7.929, 7.929 Å; angles 59.38, 59.38, 59.38 degrees
Element x y z (fractional)
1 Pm 0.000 0.500 0.500
2 Pm 0.500 0.000 0.500
3 Pm 0.500 0.500 0.000
4 Ho 0.000 0.000 0.500
5 Ho 0.000 0.500 0.000
6 Ho 0.500 0.000 0.000
7 Tm 0.500 0.500 0.500
8 S 0.246 0.246 0.246
9 S 0.246 0.745 0.745
10 S 0.255 0.255 0.754
11 S 0.255 0.754 0.255
12 S 0.745 0.246 0.745
13 S 0.745 0.745 0.246
14 S 0.754 0.255 0.255
15 S 0.754 0.754 0.754

Values from the calculation:
- Formation energy without anion corrections: -2.053 eV per atom
- N(E_F): 6.914 states/eV/f.u.



Entry from Alexandria via LeMat-Bulk: crystalline Pm3Y3HoS8 at its relaxed geometry (PBE).

Cell lengths 7.953, 7.953, 7.953 Å; angles 59.57, 59.57, 59.57 degrees
Element x y z (fractional)
1 Pm 0.000 0.500 0.500
2 Pm 0.500 0.000 0.500
3 Pm 0.500 0.500 0.000
4 Y 0.000 0.000 0.500
5 Y 0.000 0.500 0.000
6 Y 0.500 0.000 0.000
7 Ho 0.500 0.500 0.500
8 S 0.247 0.247 0.247
9 S 0.247 0.746 0.746
10 S 0.254 0.254 0.753
11 S 0.254 0.753 0.254
12 S 0.746 0.247 0.746
13 S 0.746 0.746 0.247
14 S 0.753 0.254 0.254
15 S 0.753 0.753 0.753

Values from the calculation:
- Formation energy without anion corrections: -2.060 eV per atom
- N(E_F): 6.869 states/eV/f.u.



Entry from Alexandria via LeMat-Bulk: crystalline PmY2HoS4 at its relaxed geometry (PBE).

Cell lengths 6.830, 3.903, 6.864 Å; angles 90.00, 109.02, 90.00 degrees
Element x y z (fractional)
1 Pm 0.000 0.000 0.000
2 Y 0.500 0.000 0.500
3 Y 0.500 0.500 0.000
4 Ho 0.000 0.500 0.500
5 S 0.251 0.000 0.744
6 S 0.256 0.500 0.259
7 S 0.744 0.500 0.741
8 S 0.749 0.000 0.256

Values from the calculation:
- Formation energy without anion corrections: -1.995 eV per atom
- N(E_F): 4.947 states/eV/f.u.



Entry from Alexandria via LeMat-Bulk: crystalline Pm3Y2HoS6 at its relaxed geometry (PBE).

Cell lengths 6.857, 6.857, 6.919 Å; angles 99.48, 99.48, 120.17 degrees
Element x y z (fractional)
1 Pm 0.000 0.000 0.000
2 Pm 0.332 0.668 0.000
3 Pm 0.668 0.332 0.000
4 Y 0.167 0.833 0.500
5 Y 0.833 0.167 0.500
6 Ho 0.500 0.500 0.500
7 S 0.090 0.421 0.262
8 S 0.248 0.248 0.738
9 S 0.421 0.090 0.262
10 S 0.579 0.910 0.738
11 S 0.752 0.752 0.262
12 S 0.910 0.579 0.738

Values from the calculation:
- Formation energy without anion corrections: -2.018 eV per atom
- N(E_F): 5.323 states/eV/f.u.